(1)
A plane-wave DFT calculation with GGA-PBE was carried out for a relaxed SrCa2TlP crystal.

Cell: 5.479 5.479 5.902 Å, 90.00 90.00 90.00°
Sites, in units of the cell vectors:
Tl  0.500  0.500  0.500
Ca  0.000  0.500  0.000
P  0.000  0.000  0.000
Sr  0.000  0.000  0.500
Ca  0.500  0.000  0.000

Output
raw total energy = -16.54 eV for the cell shown
size of the total moment = 0.00 Bohr magnetons per cell
DOS at the Fermi energy = 0.922 states/eV/atom


(2)
A plane-wave DFT calculation with GGA-PBE was carried out for a relaxed Sr4CdSi crystal.

Cell: 7.013 7.013 7.013 Å, 60.00 60.00 60.00°
Sites, in units of the cell vectors:
Si  0.000  0.000  0.000
Sr  0.877  0.374  0.374
Cd  0.750  0.750  0.750
Sr  0.374  0.374  0.877
Sr  0.374  0.877  0.374
Sr  0.374  0.374  0.374

Output
raw total energy = -9.63 eV for the cell shown
size of the total moment = 0.00 Bohr magnetons per cell
DOS at the Fermi energy = 1.432 states/eV/atom
uncorrected formation energy = 55 kJ per mole of atoms


(3)
A plane-wave DFT calculation with GGA-PBE was carried out for a relaxed TlP2H crystal.

Cell: 8.152 5.644 8.104 Å, 69.30 90.00 90.00°
Sites, in units of the cell vectors:
Tl  0.526  0.856  0.840
P  0.821  0.393  0.999
P  0.075  0.238  0.004
P  0.575  0.762  0.496
P  0.425  0.238  0.504
Tl  0.974  0.856  0.340
Tl  0.474  0.144  0.160
P  0.179  0.607  0.001
P  0.679  0.393  0.499
H  0.277  0.542  0.683
Tl  0.026  0.144  0.660
H  0.223  0.542  0.183
P  0.321  0.607  0.501
P  0.925  0.762  0.996
H  0.777  0.458  0.817
H  0.723  0.458  0.317

Output
raw total energy = -64.84 eV for the cell shown
polymorph energy (0 for the lowest one) = 0.000 eV per atom
size of the total moment = 0.00 Bohr magnetons per cell


(4)
A plane-wave DFT calculation with GGA-PBE was carried out for a relaxed MgPd2Pt5 crystal.

Cell: 3.918 5.597 11.350 Å, 90.00 90.00 90.00°
Sites, in units of the cell vectors:
Pt  0.500  0.739  0.628
Mg  0.000  0.000  0.500
Pd  0.500  0.757  0.379
Pt  0.000  0.000  0.000
Pt  0.000  0.500  0.500
Pt  0.500  0.761  0.128
Pt  0.500  0.261  0.372
Pd  0.500  0.743  0.879
Pt  0.000  0.490  0.755
Mg  0.000  0.500  0.000
Pt  0.000  0.990  0.745
Pt  0.000  0.010  0.255
Pt  0.000  0.510  0.245
Pt  0.500  0.239  0.872
Pd  0.500  0.243  0.621
Pd  0.500  0.257  0.121

Output
raw total energy = -89.10 eV for the cell shown
polymorph energy (0 for the lowest one) = 0.037 eV per atom
size of the total moment = 0.00 Bohr magnetons per cell
DOS at the Fermi energy = 1.540 states/eV/atom


(5)
A plane-wave DFT calculation with GGA-PBE was carried out for a relaxed MnBeI4 crystal.

Cell: 7.779 7.779 10.111 Å, 90.00 90.00 90.00°
Site moments in Bohr magnetons follow the coordinates.
Sites, in units of the cell vectors:
Be  0.000  0.500  0.000  0.01
I  0.267  0.767  0.500  0.04
I  0.233  0.733  0.000  0.04
I  0.233  0.267  0.000  0.04
I  0.267  0.233  0.500  0.04
I  0.733  0.233  0.500  0.04
I  0.733  0.767  0.500  0.04
Be  0.500  0.000  0.500  0.01
Mn  0.000  0.000  0.000  4.33
Mn  0.000  0.000  0.500  4.33
I  0.767  0.733  0.000  0.04
I  0.767  0.267  0.000  0.04

Output
raw total energy = -40.66 eV for the cell shown
size of the total moment = 10.01 Bohr magnetons per cell
DOS at the Fermi energy = 0.004 states/eV/atom
uncorrected formation energy = -20 kJ per mole of atoms


(6)
A plane-wave DFT calculation with GGA-PBE was carried out for a relaxed VZnW crystal.

Cell: 5.424 4.865 5.317 Å, 73.48 59.33 56.12°
Site moments in Bohr magnetons follow the coordinates.
Sites, in units of the cell vectors:
V  0.335  0.000  0.330  0.33
Zn  0.823  0.355  0.000  -0.01
W  0.250  0.500  0.500  -0.04
W  0.750  0.500  0.500  -0.04
V  0.665  0.000  0.670  0.33
Zn  0.177  0.645  0.000  -0.01

Output
raw total energy = -43.00 eV for the cell shown
polymorph energy (0 for the lowest one) = 0.433 eV per atom
size of the total moment = 0.65 Bohr magnetons per cell
DOS at the Fermi energy = 1.136 states/eV/atom


Which value of size of the total moment does entry 5 give?
10.01 Bohr magnetons per cell


Which of these has the highest size of the total moment?
MnBeI4